DFT (PBE-GGA) results for a relaxed structure of HfZr2Sn.

Cell: 4.462 4.455 4.455 Å, 90.00 90.00 90.00°
Sites, in units of the cell vectors:
Hf  0.500  0.500  0.500
Sn  0.500  0.000  0.000
Zr  0.000  0.000  0.500
Zr  0.000  0.500  0.000

* magnetization: 0.00 μB per formula unit
* space-group type: No. 123
* crystal system: tetragonal
* final energy: -8.086 eV per atom
* energy of formation from the pure elements: -323 meV per atom


DFT (PBE-GGA) results for a relaxed structure of Hf5ZrSn2.

Cell: 4.417 6.287 12.577 Å, 90.00 90.00 90.00°
Sites, in units of the cell vectors:
Hf  0.000  0.000  0.000
Hf  0.000  0.500  0.500
Hf  0.000  0.500  0.749
Hf  0.000  0.500  0.251
Hf  0.000  0.000  0.249
Hf  0.000  0.000  0.751
Hf  0.500  0.250  0.874
Hf  0.500  0.750  0.126
Hf  0.500  0.250  0.374
Hf  0.500  0.750  0.626
Zr  0.000  0.000  0.500
Zr  0.000  0.500  0.000
Sn  0.500  0.252  0.625
Sn  0.500  0.748  0.375
Sn  0.500  0.248  0.125
Sn  0.500  0.752  0.875

* magnetization: 0.00 μB per formula unit
* space-group type: No. 55
* crystal system: orthorhombic
* final energy: -8.554 eV per atom
* energy of formation from the pure elements: -264 meV per atom


DFT (PBE-GGA) results for a relaxed structure of HfZr2Sn2.

Cell: 4.896 5.906 8.341 Å, 90.00 107.07 90.00°
Sites, in units of the cell vectors:
Hf  0.394  0.977  0.789
Hf  0.606  0.477  0.211
Zr  0.000  0.727  0.000
Zr  0.810  0.477  0.621
Zr  0.190  0.977  0.379
Zr  0.000  0.227  0.000
Sn  0.421  0.477  0.841
Sn  0.806  0.977  0.612
Sn  0.194  0.477  0.388
Sn  0.579  0.977  0.159

* magnetization: 0.00 μB per formula unit
* space-group type: No. 63
* crystal system: orthorhombic
* final energy: -7.389 eV per atom
* energy of formation from the pure elements: -378 meV per atom


DFT (PBE-GGA) results for a relaxed structure of Hf2ZrSn4.

Cell: 5.383 5.383 8.111 Å, 70.62 70.62 90.00°
Sites, in units of the cell vectors:
Hf  0.401  0.401  0.198
Hf  0.599  0.599  0.802
Sn  0.200  0.200  0.600
Sn  0.800  0.800  0.400
Sn  0.000  0.500  0.000
Sn  0.500  0.000  0.000
Zr  0.000  0.000  0.000

* magnetization: 0.00 μB per formula unit
* space-group type: No. 139
* crystal system: tetragonal
* final energy: -6.054 eV per atom
* energy of formation from the pure elements: 299 meV per atom


DFT (PBE-GGA) results for a relaxed structure of Hf5ZrSn3.

Cell: 5.960 8.699 8.699 Å, 120.00 90.00 90.00°
Sites, in units of the cell vectors:
Hf  0.000  0.667  0.333
Hf  0.500  0.333  0.667
Hf  0.000  0.333  0.667
Hf  0.500  0.667  0.333
Hf  0.750  0.663  0.663
Hf  0.750  0.000  0.337
Hf  0.750  0.337  0.000
Hf  0.250  0.337  0.337
Hf  0.250  0.000  0.663
Hf  0.250  0.663  0.000
Zr  0.000  0.000  0.000
Zr  0.500  0.000  0.000
Sn  0.750  0.330  0.330
Sn  0.750  0.000  0.670
Sn  0.750  0.670  0.000
Sn  0.250  0.670  0.670
Sn  0.250  0.000  0.330
Sn  0.250  0.330  0.000

* magnetization: 0.00 μB per formula unit
* space-group type: No. 193
* crystal system: hexagonal
* final energy: -8.131 eV per atom
* energy of formation from the pure elements: -317 meV per atom


DFT (PBE-GGA) results for a relaxed structure of HfZr3Sn2.

Cell: 5.971 6.553 7.907 Å, 101.95 112.18 90.00°
Sites, in units of the cell vectors:
Hf  0.767  0.750  0.000
Hf  0.233  0.250  0.000
Zr  0.771  0.250  0.000
Zr  0.229  0.750  0.000
Zr  0.178  0.089  0.356
Zr  0.822  0.411  0.644
Zr  0.178  0.589  0.356
Zr  0.822  0.911  0.644
Sn  0.643  0.572  0.287
Sn  0.644  0.072  0.287
Sn  0.356  0.928  0.713
Sn  0.357  0.428  0.713

* magnetization: 0.00 μB per formula unit
* space-group type: No. 15
* crystal system: monoclinic
* final energy: -7.567 eV per atom
* energy of formation from the pure elements: -300 meV per atom


DFT (PBE-GGA) results for a relaxed structure of Hf3ZrSn.

Cell: 5.217 5.217 5.217 Å, 90.00 90.00 90.00°
Sites, in units of the cell vectors:
Hf  0.000  0.500  0.000
Hf  0.000  0.000  0.500
Hf  0.500  0.000  0.000
Sn  0.000  0.000  0.000
Zr  0.500  0.500  0.500

* magnetization: 1.34 μB per formula unit
* space-group type: No. 221
* crystal system: cubic
* final energy: -7.444 eV per atom
* energy of formation from the pure elements: 1038 meV per atom


DFT (PBE-GGA) results for a relaxed structure of Hf2ZrSn2.

Cell: 7.648 7.648 3.852 Å, 90.00 90.00 90.00°
Sites, in units of the cell vectors:
Hf  0.167  0.667  0.500
Hf  0.667  0.833  0.500
Hf  0.833  0.333  0.500
Hf  0.333  0.167  0.500
Sn  0.365  0.865  0.000
Sn  0.865  0.635  0.000
Sn  0.635  0.135  0.000
Sn  0.135  0.365  0.000
Zr  0.000  0.000  0.000
Zr  0.500  0.500  0.000

* magnetization: 0.00 μB per formula unit
* space-group type: No. 127
* crystal system: tetragonal
* final energy: -7.655 eV per atom
* energy of formation from the pure elements: -363 meV per atom


DFT (PBE-GGA) results for a relaxed structure of Hf4ZrSn.

Cell: 5.487 5.496 5.452 Å, 59.73 80.10 70.06°
Sites, in units of the cell vectors:
Hf  0.000  0.332  0.335
Hf  0.500  0.161  0.678
Hf  0.000  0.668  0.665
Hf  0.500  0.839  0.322
Zr  0.500  0.500  0.000
Sn  0.000  0.000  0.000

* magnetization: 0.00 μB per formula unit
* space-group type: No. 12
* crystal system: monoclinic
* final energy: -8.856 eV per atom
* energy of formation from the pure elements: -129 meV per atom


DFT (PBE-GGA) results for a relaxed structure of Hf2Zr3Sn.

Cell: 5.675 14.617 10.069 Å, 160.58 90.00 90.00°
Sites, in units of the cell vectors:
Hf  0.002  0.273  0.297
Hf  0.498  0.273  0.297
Hf  0.998  0.727  0.703
Hf  0.502  0.727  0.703
Zr  0.750  0.941  0.633
Zr  0.750  0.311  0.621
Zr  0.250  0.190  0.879
Zr  0.750  0.810  0.121
Zr  0.250  0.689  0.379
Zr  0.250  0.059  0.367
Sn  0.250  0.616  0.980
Sn  0.750  0.384  0.020

* magnetization: 0.00 μB per formula unit
* space-group type: No. 11
* crystal system: monoclinic
* final energy: -8.295 eV per atom
* energy of formation from the pure elements: -36 meV per atom


DFT (PBE-GGA) results for a relaxed structure of HfZr2Sn.

Cell: 5.035 6.121 11.643 Å, 90.00 90.00 90.00°
Sites, in units of the cell vectors:
Hf  0.250  0.386  0.573
Hf  0.750  0.886  0.927
Hf  0.750  0.614  0.427
Hf  0.250  0.114  0.073
Zr  0.250  0.356  0.322
Zr  0.750  0.644  0.678
Zr  0.750  0.856  0.178
Zr  0.250  0.144  0.822
Zr  0.250  0.613  0.070
Zr  0.250  0.887  0.570
Zr  0.750  0.113  0.430
Zr  0.750  0.387  0.930
Sn  0.750  0.358  0.184
Sn  0.250  0.642  0.816
Sn  0.250  0.858  0.316
Sn  0.750  0.142  0.684

* magnetization: 0.00 μB per formula unit
* space-group type: No. 62
* crystal system: orthorhombic
* final energy: -8.072 eV per atom
* energy of formation from the pure elements: -309 meV per atom


DFT (PBE-GGA) results for a relaxed structure of HfZr2Sn.

Cell: 3.735 3.735 6.424 Å, 90.00 90.00 90.00°
Sites, in units of the cell vectors:
Hf  0.500  0.500  0.000
Sn  0.500  0.500  0.500
Zr  0.000  0.000  0.743
Zr  0.000  0.000  0.257

* magnetization: 0.00 μB per formula unit
* space-group type: No. 123
* crystal system: tetragonal
* final energy: -8.041 eV per atom
* energy of formation from the pure elements: -278 meV per atom